# LiMoS2Cl

An optimized crystal structure of LiMoS2Cl (PBE, Alexandria).

Calculated values
space-group type: P4/mmm
energy relative to the elements, uncorrected: -488 meV/atom
energy above the most stable polymorph in this dataset: 0 meV per atom
total magnetic moment: 0.0 μB/f.u.
crystal system: tetragonal
electronic total energy: -5.057 eV/atom

Cell: 4.6437 4.6437 5.1368 Å, 90.00 90.00 90.00°
Fractional coordinates of all 5 atoms:
1 Li 0.0000 0.0000 0.0000
2 Mo 0.5000 0.5000 0.5000
3 S 0.0000 0.5000 0.5000
4 S 0.5000 0.0000 0.5000
5 Cl 0.5000 0.5000 0.0000